Version a
The following is a DFT calculation (GGA-PBE) of an optimized crystal structure of HfHg2H.

Results
For the size of the total moment, the calculation gives 0.0 μB/cell. For the mass density, the calculation gives 12.55 g cm⁻³.

a = 9.012 Å, b = 9.012 Å, c = 3.784 Å
α = 90.00°, β = 90.00°, γ = 90.00°
Space group I-42d (No. 122)
Inequivalent atoms, fractional coordinates:
Hf1 0.000 0.000 0.000 x4
Hg1 0.128 0.250 0.625 x8
H1 0.000 0.000 0.500 x4

***

Version b
The following is a DFT calculation (GGA-PBE) of an optimized crystal structure of HfHg2H.

Results
For the size of the total moment, the calculation gives 0.0 μB/cell. For the mass density, the calculation gives 12.77 g cm⁻³.

a = 6.710 Å, b = 6.710 Å, c = 6.710 Å
α = 90.00°, β = 90.00°, γ = 90.00°
Space group Fm-3m (No. 225)
Inequivalent atoms, fractional coordinates:
Hf1 0.000 0.000 0.000 x4
Hg1 0.250 0.250 0.250 x8
H1 0.000 0.000 0.500 x4

***

Name the most stable of them. version a.

***

Version a
The following is a DFT calculation (GGA-PBE) of an optimized crystal structure of HfHg3H.

Results
For the size of the total moment, the calculation gives 0.7 μB/cell. For the mass density, the calculation gives 7.21 g cm⁻³.

a = 5.646 Å, b = 5.646 Å, c = 5.646 Å
α = 90.00°, β = 90.00°, γ = 90.00°
Space group Pm-3m (No. 221)
Inequivalent atoms, fractional coordinates:
Hf1 0.000 0.000 0.000 x1
Hg1 0.000 0.000 0.500 x3
H1 0.500 0.500 0.500 x1

***

Version b
The following is a DFT calculation (GGA-PBE) of an optimized crystal structure of HfHg3H.

Results
For the size of the total moment, the calculation gives 0.0 μB/cell. For the mass density, the calculation gives 14.26 g cm⁻³.

a = 4.498 Å, b = 4.498 Å, c = 4.498 Å
α = 90.00°, β = 90.00°, γ = 90.00°
Space group Pm-3m (No. 221)
Inequivalent atoms, fractional coordinates:
Hf1 0.000 0.000 0.000 x1
Hg1 0.000 0.500 0.500 x3
H1 0.500 0.500 0.500 x1

***

Name the most stable of them. version b.